DFT (SCAN) results for a PBEsol-optimized structure of MgSiRh2.

abc: 2.912 2.912 6.412
angles: 90.00 90.00 90.00
Space group P4/mmm (No. 123)
Symmetry-distinct sites (fractional):
Mg  0.000  0.000  0.000
Si  0.000  0.000  0.500
Rh  0.500  0.500  0.284

Results
Volume   13.60 Å³ per atom
Energy   -21.523 eV/atom
Formation energy (no corrections)   -3.56 eV/f.u.